Li2ScNi (PBE, relaxed); energy above the most stable polymorph in this dataset = 205.6 meV per atom; space-group type = Pmmm, No. 47
1.0
2.8397 0.0000 0.0000
0.0000 4.3225 0.0000
0.0000 0.0000 5.1216
Li Sc Ni
2 1 1
Direct
0.0000 0.0000 0.2152 Li
0.0000 0.0000 0.7848 Li
0.5000 0.5000 0.5000 Sc
0.5000 0.5000 0.0000 Ni